[1]
# KGa3Au5 (PBE, optimized geometry)
# VASP energy = -57.69 eV for the cell shown
# DFT formation energy = -2.3 eV/f.u.
# calculated volume = 194.8 Å³/f.u.
data_KGa3Au5
_chemical_formula_sum 'K2 Ga6 Au10'
_cell_length_a 7.172
_cell_length_b 7.172
_cell_length_c 13.656
_cell_angle_alpha 90.00
_cell_angle_beta 90.00
_cell_angle_gamma 146.30
_space_group_name_H-M_alt 'P 1'
_space_group_IT_number 1
loop_
_space_group_symop_operation_xyz
'x,y,z'
loop_
_atom_site_label
_atom_site_fract_x
_atom_site_fract_y
_atom_site_fract_z
K1 0.160 0.840 0.750
K2 0.840 0.160 0.250
Ga1 0.121 0.879 0.250
Ga2 0.378 0.622 0.038
Ga3 0.378 0.622 0.462
Ga4 0.622 0.378 0.538
Ga5 0.622 0.378 0.962
Ga6 0.879 0.121 0.750
Au1 0.000 0.000 0.000
Au2 0.000 0.000 0.500
Au3 0.199 0.801 0.075
Au4 0.199 0.801 0.425
Au5 0.460 0.540 0.649
Au6 0.460 0.540 0.851
Au7 0.540 0.460 0.149
Au8 0.540 0.460 0.351
Au9 0.801 0.199 0.575
Au10 0.801 0.199 0.925

=====

[2]
# KGa3Au2 (PBE, optimized geometry)
# VASP energy = -17.92 eV for the cell shown
# DFT formation energy = -1.2 eV/f.u.
# calculated volume = 132.9 Å³/f.u.
data_KGa3Au2
_chemical_formula_sum 'K1 Ga3 Au2'
_cell_length_a 6.035
_cell_length_b 6.035
_cell_length_c 4.213
_cell_angle_alpha 90.00
_cell_angle_beta 90.00
_cell_angle_gamma 120.00
_space_group_name_H-M_alt 'P 1'
_space_group_IT_number 1
loop_
_space_group_symop_operation_xyz
'x,y,z'
loop_
_atom_site_label
_atom_site_fract_x
_atom_site_fract_y
_atom_site_fract_z
K1 0.000 0.000 0.000
Ga1 0.000 0.500 0.500
Ga2 0.500 0.000 0.500
Ga3 0.500 0.500 0.500
Au1 0.333 0.667 0.000
Au2 0.667 0.333 0.000

=====

[3]
# K2LiGa3Au4 (PBE, optimized geometry)
# VASP energy = -29.81 eV for the cell shown
# DFT formation energy = -3.5 eV/f.u.
# calculated volume = 229.0 Å³/f.u.
data_K2LiGa3Au4
_chemical_formula_sum 'K2 Li1 Ga3 Au4'
_cell_length_a 4.623
_cell_length_b 4.623
_cell_length_c 10.714
_cell_angle_alpha 90.00
_cell_angle_beta 90.00
_cell_angle_gamma 90.00
_space_group_name_H-M_alt 'P 1'
_space_group_IT_number 1
loop_
_space_group_symop_operation_xyz
'x,y,z'
loop_
_atom_site_label
_atom_site_fract_x
_atom_site_fract_y
_atom_site_fract_z
K1 0.000 0.500 0.249
K2 0.500 0.000 0.751
Li1 0.000 0.000 0.500
Ga1 0.000 0.500 0.877
Ga2 0.500 0.000 0.123
Ga3 0.500 0.500 0.500
Au1 0.000 0.000 0.000
Au2 0.000 0.500 0.629
Au3 0.500 0.000 0.371
Au4 0.500 0.500 0.000

=====

[4]
# KLiGaAu2 (PBE, optimized geometry)
# VASP energy = -28.93 eV for the cell shown
# DFT formation energy = -1.9 eV/f.u.
# calculated volume = 115.4 Å³/f.u.
data_KLiGaAu2
_chemical_formula_sum 'K2 Li2 Ga2 Au4'
_cell_length_a 4.610
_cell_length_b 4.610
_cell_length_c 10.858
_cell_angle_alpha 90.00
_cell_angle_beta 90.00
_cell_angle_gamma 90.00
_space_group_name_H-M_alt 'P 1'
_space_group_IT_number 1
loop_
_space_group_symop_operation_xyz
'x,y,z'
loop_
_atom_site_label
_atom_site_fract_x
_atom_site_fract_y
_atom_site_fract_z
K1 0.000 0.000 0.000
K2 0.500 0.500 0.500
Li1 0.000 0.500 0.250
Li2 0.500 0.000 0.750
Ga1 0.000 0.500 0.750
Ga2 0.500 0.000 0.250
Au1 0.000 0.000 0.370
Au2 0.000 0.000 0.630
Au3 0.500 0.500 0.130
Au4 0.500 0.500 0.870

=====

[5]
# K2LiGa4Au3 (PBE, optimized geometry)
# VASP energy = -28.77 eV for the cell shown
# DFT formation energy = -2.7 eV/f.u.
# calculated volume = 229.2 Å³/f.u.
data_K2LiGa4Au3
_chemical_formula_sum 'K2 Li1 Ga4 Au3'
_cell_length_a 4.697
_cell_length_b 4.697
_cell_length_c 10.390
_cell_angle_alpha 90.00
_cell_angle_beta 90.00
_cell_angle_gamma 90.00
_space_group_name_H-M_alt 'P 1'
_space_group_IT_number 1
loop_
_space_group_symop_operation_xyz
'x,y,z'
loop_
_atom_site_label
_atom_site_fract_x
_atom_site_fract_y
_atom_site_fract_z
K1 0.000 0.500 0.249
K2 0.500 0.000 0.751
Li1 0.500 0.500 0.000
Ga1 0.000 0.000 0.500
Ga2 0.000 0.500 0.879
Ga3 0.500 0.000 0.121
Ga4 0.500 0.500 0.500
Au1 0.000 0.000 0.000
Au2 0.000 0.500 0.628
Au3 0.500 0.000 0.372

=====

[6]
# KMgGaAu2 (PBE, optimized geometry)
# VASP energy = -28.13 eV for the cell shown
# DFT formation energy = -1.8 eV/f.u.
# calculated volume = 119.6 Å³/f.u.
data_KMgGaAu2
_chemical_formula_sum 'K2 Mg2 Ga2 Au4'
_cell_length_a 4.502
_cell_length_b 4.502
_cell_length_c 11.805
_cell_angle_alpha 90.00
_cell_angle_beta 90.00
_cell_angle_gamma 90.00
_space_group_name_H-M_alt 'P 1'
_space_group_IT_number 1
loop_
_space_group_symop_operation_xyz
'x,y,z'
loop_
_atom_site_label
_atom_site_fract_x
_atom_site_fract_y
_atom_site_fract_z
K1 0.000 0.000 0.000
K2 0.500 0.500 0.500
Mg1 0.000 0.500 0.250
Mg2 0.500 0.000 0.750
Ga1 0.000 0.500 0.750
Ga2 0.500 0.000 0.250
Au1 0.000 0.000 0.379
Au2 0.000 0.000 0.621
Au3 0.500 0.500 0.121
Au4 0.500 0.500 0.879

=====

Number 1 is which compound? KGa3Au5

=====

VASP energy of number 4 (KLiGaAu2)? -28.93 eV for the cell shown